[1]
The following is a DFT calculation (PBE-GGA) of a relaxed MgTePb2O6 crystal.

Cell: 5.6989 5.7006 5.7075 Å, 60.34 60.51 60.49°
Space group P1 (No. 1)
Asymmetric unit:
Mg (0.0000, 0.0000, 0.0000) (multiplicity 1)
Te (0.4998, 0.4999, 0.4995) (multiplicity 1)
Pb (0.2526, 0.2507, 0.2544) (multiplicity 1)
Pb (0.7480, 0.7510, 0.7467) (multiplicity 1)
O (0.2165, 0.3036, 0.7284) (multiplicity 1)
O (0.2637, 0.7786, 0.7000) (multiplicity 1)
O (0.3041, 0.7417, 0.2157) (multiplicity 1)
O (0.6958, 0.2567, 0.7827) (multiplicity 1)
O (0.7345, 0.2208, 0.2991) (multiplicity 1)
O (0.7829, 0.6961, 0.2689) (multiplicity 1)

The uncorrected formation energy is -1.45 eV per atom. Its total DFT energy (no corrections) is -56.40 eV per cell. The calculated density comes out at 8.3 Mg/m³.

[2]
The following is a DFT calculation (PBE-GGA) of a relaxed ZnCu2Br crystal.

Cell: 6.5073 6.5073 6.5073 Å, 90.00 90.00 90.00°
Space group Fm-3m (No. 225)
Asymmetric unit:
Zn (0.0000, 0.0000, 0.0000) (multiplicity 4)
Cu (0.2500, 0.2500, 0.2500) (multiplicity 8)
Br (0.0000, 0.0000, 0.5000) (multiplicity 4)

The uncorrected formation energy is 0.50 eV per atom. Its total DFT energy (no corrections) is -36.55 eV per cell. The calculated density comes out at 6.6 Mg/m³.

What is the calculated density in the first record?
8.3 Mg/m³